Computed, not measured: Na2FeAsCO7 after structural relaxation at the PBE with a Hubbard U level of DFT.

a b c (Å): 5.389 6.794 9.147
angles (deg): 90.00 92.05 90.00
Atoms (fractional coordinates):
Na  0.233  0.003  0.286
Na  0.233  0.497  0.286
Na  0.767  0.503  0.714
Na  0.767  0.997  0.714
Fe  0.211  0.750  0.852
Fe  0.789  0.250  0.148
As  0.282  0.250  0.926
As  0.718  0.750  0.074
C  0.274  0.750  0.579
C  0.726  0.250  0.421
O  0.053  0.750  0.635
O  0.149  0.250  0.095
O  0.193  0.048  0.827
O  0.193  0.452  0.827
O  0.312  0.750  0.444
O  0.397  0.750  0.045
O  0.457  0.750  0.680
O  0.543  0.250  0.320
O  0.603  0.250  0.955
O  0.688  0.250  0.556
O  0.807  0.548  0.173
O  0.807  0.952  0.173
O  0.851  0.750  0.905
O  0.947  0.250  0.365

- Raw total energy: -6.31 eV/atom
- Volume: 13.95 Å³/atom